(1)
A geometry-optimized Ta2Ir5OsW structure, computed with GGA-PBE.

Cell and atoms, written as POSCAR:
```
Ta2Ir5OsW
1.0
7.515 0.000 0.000
0.000 7.515 0.000
-3.757 -3.757 5.374
Ir Os Ta W
10 2 4 2
direct
0.830 0.936 0.266
0.670 0.170 0.734
0.936 0.436 0.266
0.064 0.564 0.734
0.000 0.000 0.000
0.564 0.670 0.734
0.330 0.830 0.266
0.170 0.064 0.734
0.436 0.330 0.266
0.500 0.500 0.000
0.250 0.750 0.500
0.750 0.250 0.500
0.885 0.615 0.000
0.615 0.115 0.000
0.385 0.885 0.000
0.115 0.385 0.000
0.750 0.750 0.500
0.250 0.250 0.500
```

## Properties
SG ... I4/mcm
Energy relative to the elements ... 0.50 eV/atom
Total moment ... 0.00 μB/f.u.
Final energy ... -9.747 eV/atom

(2)
A geometry-optimized TaIrOs2W structure, computed with GGA-PBE.

Cell and atoms, written as POSCAR:
```
TaIrOs2W
1.0
-0.231 3.433 -3.146
-4.532 0.596 0.983
1.122 3.098 3.299
Os Ta Ir W
2 1 1 1
direct
0.500 0.000 0.000
0.000 0.000 0.500
0.500 0.500 0.500
0.000 0.000 0.000
0.000 0.500 0.000
```

## Properties
SG ... P4/mmm
Energy relative to the elements ... 2.13 eV/atom
Total moment ... 0.00 μB/f.u.
Final energy ... -9.091 eV/atom

(3)
A geometry-optimized YTaIrOs2 structure, computed with GGA-PBE.

Cell and atoms, written as POSCAR:
```
YTaIrOs2
1.0
4.814 0.000 0.000
0.000 4.783 0.000
0.000 0.000 4.814
Os Ir Ta Y
2 1 1 1
direct
0.500 0.000 0.000
0.000 0.000 0.500
0.000 0.000 0.000
0.000 0.500 0.000
0.500 0.500 0.500
```

## Properties
SG ... P4/mmm
Energy relative to the elements ... 1.18 eV/atom
Total moment ... 0.54 μB/f.u.
Final energy ... -8.743 eV/atom

Q: Among the records above, which one has the highest total moment?
A: YTaIrOs2